Entry 1:
DFT (SCAN) results for a PBEsol-optimized structure of TlZnCd2. Values from VASP.

Results
space-group type	I-4m2, No. 119
volume	21.19	Å³ per atom
formation enthalpy at 0 K	0.7	eV/f.u.
energy above the lowest structure with this stoichiometry	0	meV/atom
total magnetization	0.00	μB/f.u.
D(E_F)	1.06	states/eV/f.u.

```
&SYSTEM
  ibrav = 0, nat = 4, ntyp = 3
/
ATOMIC_SPECIES
Cd 112.41 Cd.upf
Tl 204.38 Tl.upf
Zn 65.41 Zn.upf
ATOMIC_POSITIONS crystal
Cd 0.000 0.000 0.000
Cd 0.750 0.250 0.500
Tl 0.500 0.500 0.000
Zn 0.250 0.750 0.500
CELL_PARAMETERS angstrom
4.397 0.000 0.000
0.000 4.397 0.000
-2.199 -2.199 4.384
```

---

Entry 2:
DFT (SCAN) results for a PBEsol-optimized structure of TlZnCd2. Values from VASP.

Results
space-group type	P4/mmm, No. 123
volume	21.29	Å³ per atom
formation enthalpy at 0 K	0.7	eV/f.u.
energy above the lowest structure with this stoichiometry	4	meV/atom
total magnetization	0.00	μB/f.u.
D(E_F)	1.28	states/eV/f.u.

```
&SYSTEM
  ibrav = 0, nat = 4, ntyp = 3
/
ATOMIC_SPECIES
Tl 204.38 Tl.upf
Zn 65.41 Zn.upf
Cd 112.41 Cd.upf
ATOMIC_POSITIONS crystal
Tl 0.500 0.500 0.500
Zn 0.500 0.000 0.000
Cd 0.000 0.000 0.500
Cd 0.000 0.500 0.000
CELL_PARAMETERS angstrom
-3.076 -2.948 -1.678
2.676 -3.275 0.847
-1.745 -0.411 3.923
```

---

Entry 3:
DFT (SCAN) results for a PBEsol-optimized structure of TlZnCd2. Values from VASP.

Results
space-group type	Pmmm, No. 47
volume	21.82	Å³ per atom
formation enthalpy at 0 K	0.8	eV/f.u.
energy above the lowest structure with this stoichiometry	27	meV/atom
total magnetization	0.00	μB/f.u.
D(E_F)	1.18	states/eV/f.u.

```
&SYSTEM
  ibrav = 0, nat = 4, ntyp = 3
/
ATOMIC_SPECIES
Zn 65.41 Zn.upf
Tl 204.38 Tl.upf
Cd 112.41 Cd.upf
ATOMIC_POSITIONS crystal
Zn 0.000 0.500 0.500
Tl 0.500 0.000 0.500
Cd 0.000 0.000 0.000
Cd 0.500 0.500 0.000
CELL_PARAMETERS angstrom
3.610 0.000 0.000
0.000 4.791 0.000
0.000 0.000 5.047
```

---

Entry 4:
DFT (SCAN) results for a PBEsol-optimized structure of Tl2ZnCd. Values from VASP.

Results
space-group type	F-43m, No. 216
volume	23.81	Å³ per atom
formation enthalpy at 0 K	1.0	eV/f.u.
energy above the lowest structure with this stoichiometry	54	meV/atom
total magnetization	0.00	μB/f.u.
D(E_F)	2.01	states/eV/f.u.

```
&SYSTEM
  ibrav = 0, nat = 4, ntyp = 3
/
ATOMIC_SPECIES
Cd 112.41 Cd.upf
Tl 204.38 Tl.upf
Zn 65.41 Zn.upf
ATOMIC_POSITIONS crystal
Cd 0.500 0.500 0.500
Tl 0.250 0.250 0.250
Tl 0.000 0.000 0.000
Zn 0.750 0.750 0.750
CELL_PARAMETERS angstrom
5.126 0.000 0.000
2.563 4.439 0.000
2.563 1.480 4.185
```

---

Entry 5:
DFT (SCAN) results for a PBEsol-optimized structure of ZrTl2Cd. Values from VASP.

Results
space-group type	P2/m, No. 10
volume	22.72	Å³ per atom
formation enthalpy at 0 K	-0.3	eV/f.u.
energy above the lowest structure with this stoichiometry	37	meV/atom
total magnetization	0.00	μB/f.u.
D(E_F)	1.85	states/eV/f.u.

```
&SYSTEM
  ibrav = 0, nat = 4, ntyp = 3
/
ATOMIC_SPECIES
Cd 112.41 Cd.upf
Zr 91.22 Zr.upf
Tl 204.38 Tl.upf
ATOMIC_POSITIONS crystal
Cd 0.000 0.500 0.500
Zr 0.500 0.500 0.000
Tl 0.500 0.000 0.500
Tl 0.000 0.000 0.000
CELL_PARAMETERS angstrom
3.217 0.000 0.000
0.000 5.411 0.002
0.000 -2.207 5.219
```

---

Entry 6:
DFT (SCAN) results for a PBEsol-optimized structure of ZrTlCd2. Values from VASP.

Results
space-group type	Pm, No. 6
volume	21.64	Å³ per atom
formation enthalpy at 0 K	-0.2	eV/f.u.
energy above the lowest structure with this stoichiometry	146	meV/atom
total magnetization	0.00	μB/f.u.
D(E_F)	2.39	states/eV/f.u.

```
&SYSTEM
  ibrav = 0, nat = 4, ntyp = 3
/
ATOMIC_SPECIES
Cd 112.41 Cd.upf
Zr 91.22 Zr.upf
Tl 204.38 Tl.upf
ATOMIC_POSITIONS crystal
Cd 0.942 0.000 0.014
Cd 0.568 0.500 0.227
Zr 0.292 0.500 0.735
Tl 0.698 0.000 0.524
CELL_PARAMETERS angstrom
3.119 0.000 -0.121
0.000 4.534 0.000
-1.128 0.000 6.167
```

---

Entry 7:
DFT (SCAN) results for a PBEsol-optimized structure of ZrTl2Cd. Values from VASP.

Results
space-group type	Cmmm, No. 65
volume	23.51	Å³ per atom
formation enthalpy at 0 K	0.2	eV/f.u.
energy above the lowest structure with this stoichiometry	163	meV/atom
total magnetization	0.00	μB/f.u.
D(E_F)	2.55	states/eV/f.u.

```
&SYSTEM
  ibrav = 0, nat = 4, ntyp = 3
/
ATOMIC_SPECIES
Tl 204.38 Tl.upf
Cd 112.41 Cd.upf
Zr 91.22 Zr.upf
ATOMIC_POSITIONS crystal
Tl 0.000 0.000 0.751
Tl 0.000 0.000 0.249
Cd 0.500 0.500 0.000
Zr 0.500 0.500 0.500
CELL_PARAMETERS angstrom
-0.558 0.275 3.230
2.355 -2.030 -1.074
6.652 7.441 0.517
```

---

Entry 8:
DFT (SCAN) results for a PBEsol-optimized structure of ZrTlCd2. Values from VASP.

Results
space-group type	P2/m, No. 10
volume	21.64	Å³ per atom
formation enthalpy at 0 K	-0.4	eV/f.u.
energy above the lowest structure with this stoichiometry	111	meV/atom
total magnetization	0.00	μB/f.u.
D(E_F)	2.16	states/eV/f.u.

```
&SYSTEM
  ibrav = 0, nat = 4, ntyp = 3
/
ATOMIC_SPECIES
Tl 204.38 Tl.upf
Cd 112.41 Cd.upf
Zr 91.22 Zr.upf
ATOMIC_POSITIONS crystal
Tl 0.500 0.000 0.500
Cd 0.500 0.500 0.000
Cd 0.000 0.000 0.000
Zr 0.000 0.500 0.500
CELL_PARAMETERS angstrom
-2.973 -0.613 -0.195
0.874 -2.804 -4.520
0.392 -3.342 4.535
```

---

Entry 9:
DFT (SCAN) results for a PBEsol-optimized structure of ZrTl2Cd. Values from VASP.

Results
space-group type	P4/mmm, No. 123
volume	21.95	Å³ per atom
formation enthalpy at 0 K	-0.4	eV/f.u.
energy above the lowest structure with this stoichiometry	0	meV/atom
total magnetization	0.00	μB/f.u.
D(E_F)	1.19	states/eV/f.u.

```
&SYSTEM
  ibrav = 0, nat = 4, ntyp = 3
/
ATOMIC_SPECIES
Cd 112.41 Cd.upf
Zr 91.22 Zr.upf
Tl 204.38 Tl.upf
ATOMIC_POSITIONS crystal
Cd 0.500 0.000 0.000
Zr 0.500 0.500 0.500
Tl 0.000 0.000 0.500
Tl 0.000 0.500 0.000
CELL_PARAMETERS angstrom
4.309 0.000 0.000
0.000 4.514 0.000
0.000 0.000 4.514
```

---

Entry 10:
DFT (SCAN) results for a PBEsol-optimized structure of ZrTl2Cd. Values from VASP.

Results
space-group type	P4mm, No. 99
volume	23.80	Å³ per atom
formation enthalpy at 0 K	0.0	eV/f.u.
energy above the lowest structure with this stoichiometry	114	meV/atom
total magnetization	0.00	μB/f.u.
D(E_F)	2.40	states/eV/f.u.

```
&SYSTEM
  ibrav = 0, nat = 4, ntyp = 3
/
ATOMIC_SPECIES
Tl 204.38 Tl.upf
Zr 91.22 Zr.upf
Cd 112.41 Cd.upf
ATOMIC_POSITIONS crystal
Tl 0.500 0.500 0.277
Tl 0.000 0.000 0.992
Zr 0.000 0.000 0.505
Cd 0.500 0.500 0.726
CELL_PARAMETERS angstrom
3.189 0.000 0.000
0.000 3.189 0.000
0.000 0.000 9.365
```

---

Entry 11:
DFT (SCAN) results for a PBEsol-optimized structure of ZrTlCd2. Values from VASP.

Results
space-group type	P4/mmm, No. 123
volume	20.93	Å³ per atom
formation enthalpy at 0 K	-0.8	eV/f.u.
energy above the lowest structure with this stoichiometry	0	meV/atom
total magnetization	0.00	μB/f.u.
D(E_F)	1.45	states/eV/f.u.

```
&SYSTEM
  ibrav = 0, nat = 4, ntyp = 3
/
ATOMIC_SPECIES
Cd 112.41 Cd.upf
Zr 91.22 Zr.upf
Tl 204.38 Tl.upf
ATOMIC_POSITIONS crystal
Cd 0.000 0.500 0.000
Cd 0.500 0.000 0.000
Zr 0.000 0.000 0.500
Tl 0.500 0.500 0.500
CELL_PARAMETERS angstrom
4.323 0.000 0.000
0.000 4.323 0.000
0.000 0.000 4.479
```

---

Entry 12:
DFT (SCAN) results for a PBEsol-optimized structure of ZrTl2Cd. Values from VASP.

Results
space-group type	C2/m, No. 12
volume	23.00	Å³ per atom
formation enthalpy at 0 K	-0.1	eV/f.u.
energy above the lowest structure with this stoichiometry	88	meV/atom
total magnetization	0.00	μB/f.u.
D(E_F)	1.95	states/eV/f.u.

```
&SYSTEM
  ibrav = 0, nat = 4, ntyp = 3
/
ATOMIC_SPECIES
Zr 91.22 Zr.upf
Cd 112.41 Cd.upf
Tl 204.38 Tl.upf
ATOMIC_POSITIONS crystal
Zr 0.500 0.000 0.000
Cd 0.000 0.500 0.000
Tl 0.000 0.000 0.500
Tl 0.500 0.500 0.500
CELL_PARAMETERS angstrom
-1.263 -2.423 1.536
2.567 -3.400 -3.929
3.471 2.627 4.137
```

---

Entry 13:
DFT (SCAN) results for a PBEsol-optimized structure of Zr3TlCd. Values from VASP.

Results
space-group type	Pm-3m, No. 221
volume	29.05	Å³ per atom
formation enthalpy at 0 K	4.4	eV/f.u.
total magnetization	0.00	μB/f.u.
D(E_F)	3.68	states/eV/f.u.

```
&SYSTEM
  ibrav = 0, nat = 5, ntyp = 3
/
ATOMIC_SPECIES
Tl 204.38 Tl.upf
Cd 112.41 Cd.upf
Zr 91.22 Zr.upf
ATOMIC_POSITIONS crystal
Tl 0.000 0.000 0.000
Cd 0.500 0.500 0.500
Zr 0.000 0.000 0.500
Zr 0.500 0.000 0.000
Zr 0.000 0.500 0.000
CELL_PARAMETERS angstrom
5.257 0.000 0.000
0.000 5.257 0.000
0.000 0.000 5.257
```

---

Entry 14:
DFT (SCAN) results for a PBEsol-optimized structure of ZrTlCd. Values from VASP.

Results
space-group type	P3m1, No. 156
volume	21.53	Å³ per atom
formation enthalpy at 0 K	-0.2	eV/f.u.
total magnetization	0.00	μB/f.u.
D(E_F)	1.02	states/eV/f.u.

```
&SYSTEM
  ibrav = 0, nat = 3, ntyp = 3
/
ATOMIC_SPECIES
Cd 112.41 Cd.upf
Tl 204.38 Tl.upf
Zr 91.22 Zr.upf
ATOMIC_POSITIONS crystal
Cd 0.906 0.000 0.000
Tl 0.755 0.333 0.667
Zr 0.338 0.667 0.333
CELL_PARAMETERS angstrom
-0.717 1.723 -2.703
-3.943 -2.604 -0.614
-0.163 3.996 2.590
```

---

Entry 15:
DFT (SCAN) results for a PBEsol-optimized structure of YTmCd2. Values from VASP.

Results
space-group type	Fm-3m, No. 225
volume	24.46	Å³ per atom
formation enthalpy at 0 K	-1.8	eV/f.u.
total magnetization	0.00	μB/f.u.
D(E_F)	2.66	states/eV/f.u.

```
&SYSTEM
  ibrav = 0, nat = 4, ntyp = 3
/
ATOMIC_SPECIES
Y 88.91 Y.upf
Cd 112.41 Cd.upf
Tm 168.93 Tm.upf
ATOMIC_POSITIONS crystal
Y 0.000 0.000 0.000
Cd 0.250 0.250 0.250
Cd 0.750 0.750 0.750
Tm 0.500 0.500 0.500
CELL_PARAMETERS angstrom
5.172 0.000 0.000
2.586 4.479 0.000
2.586 1.493 4.223
```

---

Entry 16:
DFT (SCAN) results for a PBEsol-optimized structure of CdW. Values from VASP.

Results
space-group type	Cmme, No. 67
volume	17.60	Å³ per atom
formation enthalpy at 0 K	0.7	eV/f.u.
energy above the lowest structure with this stoichiometry	0	meV/atom
total magnetization	0.00	μB/f.u.
D(E_F)	0.57	states/eV/f.u.

```
&SYSTEM
  ibrav = 0, nat = 4, ntyp = 2
/
ATOMIC_SPECIES
W 183.84 W.upf
Cd 112.41 Cd.upf
ATOMIC_POSITIONS crystal
W 0.250 0.750 0.609
W 0.750 0.250 0.391
Cd 0.750 0.250 0.863
Cd 0.250 0.750 0.137
CELL_PARAMETERS angstrom
2.791 0.023 0.000
-0.975 2.615 0.000
0.000 0.000 9.619
```

---

Entry 17:
DFT (SCAN) results for a PBEsol-optimized structure of CdW. Values from VASP.

Results
space-group type	R-3m, No. 166
volume	17.21	Å³ per atom
formation enthalpy at 0 K	1.4	eV/f.u.
energy above the lowest structure with this stoichiometry	373	meV/atom
total magnetization	0.00	μB/f.u.
D(E_F)	1.33	states/eV/f.u.

```
&SYSTEM
  ibrav = 0, nat = 2, ntyp = 2
/
ATOMIC_SPECIES
W 183.84 W.upf
Cd 112.41 Cd.upf
ATOMIC_POSITIONS crystal
W 0.500 0.500 0.500
Cd 0.000 0.000 0.000
CELL_PARAMETERS angstrom
-0.877 -2.508 1.024
-1.066 -1.964 -1.764
3.846 -3.333 -0.911
```

---

Entry 18:
DFT (SCAN) results for a PBEsol-optimized structure of CdW. Values from VASP.

Results
space-group type	Pmmn, No. 59
volume	17.46	Å³ per atom
formation enthalpy at 0 K	1.3	eV/f.u.
energy above the lowest structure with this stoichiometry	283	meV/atom
total magnetization	0.00	μB/f.u.
D(E_F)	0.90	states/eV/f.u.

```
&SYSTEM
  ibrav = 0, nat = 4, ntyp = 2
/
ATOMIC_SPECIES
W 183.84 W.upf
Cd 112.41 Cd.upf
ATOMIC_POSITIONS crystal
W 0.500 0.500 0.901
W 0.000 0.000 0.099
Cd 0.500 0.500 0.380
Cd 0.000 0.000 0.620
CELL_PARAMETERS angstrom
2.720 0.000 0.000
0.000 4.315 0.000
0.000 0.000 5.952
```

---

Entry 19:
DFT (SCAN) results for a PBEsol-optimized structure of Cd4W. Values from VASP.

Results
space-group type	I4/mmm, No. 139
volume	20.51	Å³ per atom
formation enthalpy at 0 K	4.8	eV/f.u.
total magnetization	2.09	μB/f.u.
D(E_F)	1.88	states/eV/f.u.

```
&SYSTEM
  ibrav = 0, nat = 5, ntyp = 2
/
ATOMIC_SPECIES
Cd 112.41 Cd.upf
W 183.84 W.upf
ATOMIC_POSITIONS crystal
Cd 0.407 0.407 0.814
Cd 0.250 0.750 0.500
Cd 0.750 0.250 0.500
Cd 0.593 0.593 0.186
W 0.000 0.000 0.000
CELL_PARAMETERS angstrom
-0.475 0.872 3.633
-3.692 -0.667 -0.322
3.176 -7.018 0.147
```

---

Entry 20:
DFT (SCAN) results for a PBEsol-optimized structure of CdW. Values from VASP.

Results
space-group type	P6_3/mmc, No. 194
volume	21.28	Å³ per atom
formation enthalpy at 0 K	3.1	eV/f.u.
energy above the lowest structure with this stoichiometry	1222	meV/atom
total magnetization	0.00	μB/f.u.
D(E_F)	2.15	states/eV/f.u.

```
&SYSTEM
  ibrav = 0, nat = 4, ntyp = 2
/
ATOMIC_SPECIES
W 183.84 W.upf
Cd 112.41 Cd.upf
ATOMIC_POSITIONS crystal
W 0.000 0.000 0.000
W 0.000 0.000 0.500
Cd 0.333 0.667 0.250
Cd 0.667 0.333 0.750
CELL_PARAMETERS angstrom
-0.975 -4.186 -1.359
4.219 1.060 1.184
-0.967 -1.257 4.568
```